This record from OQMD via LeMat-Bulk describes a geometry-optimized FeH30C40Se2N12 structure. The functional is PBE.

a b c (Å): 8.7978 9.0179 11.3802
angles (deg): 75.53 75.88 84.90
Space group P-1 (No. 2)
Inequivalent atoms, fractional coordinates:
Fe 0.0000 0.0000 0.0000
H 0.0038 0.7968 0.5528
H 0.0880 0.5780 0.0494
H 0.1693 0.5258 0.8359
H 0.2099 0.7882 0.8466
H 0.2170 0.0314 0.3617
H 0.2331 0.4501 0.2102
H 0.2446 0.6513 0.3583
H 0.3127 0.3354 0.4031
H 0.3249 0.0641 0.5925
H 0.3312 0.5844 0.5566
H 0.3905 0.3537 0.7851
H 0.4112 0.9973 0.7920
H 0.4339 0.1861 0.3498
H 0.4626 0.2766 0.1572
H 0.4913 0.6264 0.6852
C 0.9999 0.1662 0.3619
C 0.0677 0.2659 0.7746
C 0.1135 0.8256 0.8003
C 0.1190 0.0358 0.2038
C 0.1220 0.0730 0.3150
C 0.1870 0.5004 0.0266
C 0.2315 0.9453 0.1349
C 0.2326 0.4722 0.9078
C 0.2694 0.4287 0.1170
C 0.3402 0.7122 0.3694
C 0.3591 0.3737 0.8784
C 0.3897 0.6753 0.4805
C 0.3964 0.3308 0.0880
C 0.4133 0.8296 0.2725
C 0.4192 0.1271 0.6029
C 0.4197 0.7994 0.0551
C 0.4338 0.2882 0.3860
C 0.4432 0.3016 0.9683
C 0.4673 0.0881 0.7148
C 0.4890 0.2460 0.5045
Se 0.0689 0.3986 0.6292
N 0.9999 0.0876 0.1442
N 0.0686 0.1802 0.8724
N 0.1186 0.7839 0.6950
N 0.2083 0.9323 0.0263
N 0.3250 0.8438 0.9758
N 0.3635 0.8623 0.1569

Results
* raw total energy: -6.840 eV per atom